# 1
Nb2SiSn2 | PBE-GGA | relaxed

a b c (Å): 7.6500 7.6500 7.6500
angles (deg): 150.95 150.95 41.55
Atoms (fractional coordinates):
Nb1 0.0913 0.0913 0.0000
Nb2 0.9087 0.9087 0.0000
Si1 0.5000 0.5000 0.0000
Sn1 0.2500 0.7500 0.5000
Sn2 0.7500 0.2500 0.5000

Computed properties:
Size of the total moment, μB per atom: 0.0002
Uncorrected energy, eV per atom: -6.3690

# 2
Gd3CdN | PBE-GGA | relaxed

a b c (Å): 4.8739 4.8739 4.8739
angles (deg): 90.00 90.00 90.00
Atoms (fractional coordinates):
Gd1 0.0000 0.0000 0.5000
Gd2 0.0000 0.5000 0.0000
Gd3 0.5000 0.0000 0.0000
Cd1 0.5000 0.5000 0.5000
N1 0.0000 0.0000 0.0000

Computed properties:
Size of the total moment, μB per atom: 0.0028
Uncorrected energy, eV per atom: -5.4530

# 3
LuMgTlPd | PBE-GGA | relaxed

a b c (Å): 4.8658 4.8658 4.8658
angles (deg): 60.00 60.00 60.00
Atoms (fractional coordinates):
Lu1 0.0000 0.0000 0.0000
Mg1 0.2500 0.2500 0.2500
Tl1 0.5000 0.5000 0.5000
Pd1 0.7500 0.7500 0.7500

Computed properties:
Size of the total moment, μB per atom: 0.0002
Energy relative to the lowest polymorph listed for this composition, meV per atom: 121